Entry 1:
PBE Ce2Sb3, relaxed; E_form (uncorrected) = -61.9 kJ/mol of atoms; raw total energy = -27.4 eV for the cell shown; relative energy among the computed polymorphs = 105 meV/atom
1.0
4.569 0.000 0.000
-2.285 3.957 0.000
0.000 0.000 8.786
Ce Sb
2 3
Cartesian
0.000 2.638 2.600 Ce
2.285 1.319 6.186 Ce
0.000 0.000 4.393 Sb
0.000 2.638 7.999 Sb
2.285 1.319 0.787 Sb



Entry 2:
PBE CeSb3, relaxed; E_form (uncorrected) = -54.0 kJ/mol of atoms; raw total energy = -41.1 eV for the cell shown
1.0
4.480 0.000 0.000
0.000 4.480 0.000
0.000 0.000 10.820
Ce Sb
2 6
Cartesian
0.000 0.000 0.000 Ce
2.240 2.240 5.410 Ce
0.000 0.000 5.410 Sb
0.000 2.240 2.705 Sb
0.000 2.240 8.115 Sb
2.240 0.000 2.705 Sb
2.240 0.000 8.115 Sb
2.240 2.240 0.000 Sb



Entry 3:
PBE CeSb6, relaxed; E_form (uncorrected) = 48.0 kJ/mol of atoms; raw total energy = -54.4 eV for the cell shown
1.0
8.346 0.000 0.000
0.000 8.346 0.000
0.000 0.000 8.346
Ce Sb
2 12
Cartesian
0.000 0.000 0.000 Ce
4.173 4.173 4.173 Ce
0.000 2.087 4.173 Sb
0.000 4.173 2.087 Sb
0.000 4.173 6.260 Sb
0.000 6.260 4.173 Sb
2.087 0.000 4.173 Sb
2.087 4.173 0.000 Sb
4.173 0.000 2.087 Sb
4.173 0.000 6.260 Sb
4.173 2.087 0.000 Sb
4.173 6.260 0.000 Sb
6.260 0.000 4.173 Sb
6.260 4.173 0.000 Sb



Entry 4:
PBE CeSb, relaxed; E_form (uncorrected) = -100.5 kJ/mol of atoms; raw total energy = -48.6 eV for the cell shown
1.0
6.367 0.000 0.000
0.000 6.367 0.000
0.000 0.000 6.367
Ce Sb
4 4
Cartesian
0.000 0.000 0.000 Ce
0.000 3.183 3.183 Ce
3.183 0.000 3.183 Ce
3.183 3.183 0.000 Ce
0.000 0.000 3.183 Sb
0.000 3.183 0.000 Sb
3.183 0.000 0.000 Sb
3.183 3.183 3.183 Sb



Entry 5:
PBE CeSb3, relaxed; E_form (uncorrected) = -49.9 kJ/mol of atoms; raw total energy = -81.5 eV for the cell shown
1.0
4.459 0.000 0.000
0.000 22.270 0.000
0.000 0.000 4.550
Ce Sb
4 12
Cartesian
0.000 1.712 1.138 Ce
0.000 20.558 3.413 Ce
2.230 9.423 3.413 Ce
2.230 12.848 1.138 Ce
0.000 4.070 3.413 Sb
0.000 7.070 3.413 Sb
0.000 9.975 1.138 Sb
0.000 12.296 3.413 Sb
0.000 15.201 1.138 Sb
0.000 18.200 1.138 Sb
2.230 1.161 3.413 Sb
2.230 4.065 1.138 Sb
2.230 7.065 1.138 Sb
2.230 15.206 3.413 Sb
2.230 18.205 3.413 Sb
2.230 21.110 1.138 Sb



Entry 6:
PBE Ce5ScSb3, relaxed; E_form (uncorrected) = -60.6 kJ/mol of atoms; raw total energy = -108.0 eV for the cell shown
1.0
9.443 0.000 0.000
-4.722 8.178 0.000
0.000 0.000 6.454
Ce Sc Sb
10 2 6
Cartesian
-1.482 2.567 1.614 Ce
-3.240 5.611 4.841 Ce
2.964 0.000 1.614 Ce
1.482 2.567 4.841 Ce
0.000 5.452 0.000 Ce
0.000 5.452 3.227 Ce
4.722 2.726 0.000 Ce
4.722 2.726 3.227 Ce
6.479 0.000 4.841 Ce
3.240 5.611 1.614 Ce
0.000 0.000 0.000 Sc
0.000 0.000 3.227 Sc
-1.646 2.852 4.841 Sb
-3.075 5.326 1.614 Sb
3.293 0.000 4.841 Sb
1.646 2.852 1.614 Sb
6.150 0.000 1.614 Sb
3.075 5.326 4.841 Sb



Question: The highest E_form (uncorrected) belongs to which entry?
Answer: CeSb6



What did the fifth record say?
PBE CeSb3, relaxed; E_form (uncorrected) = -49.9 kJ/mol of atoms; raw total energy = -81.5 eV for the cell shown
1.0
4.459 0.000 0.000
0.000 22.270 0.000
0.000 0.000 4.550
Ce Sb
4 12
Cartesian
0.000 1.712 1.138 Ce
0.000 20.558 3.413 Ce
2.230 9.423 3.413 Ce
2.230 12.848 1.138 Ce
0.000 4.070 3.413 Sb
0.000 7.070 3.413 Sb
0.000 9.975 1.138 Sb
0.000 12.296 3.413 Sb
0.000 15.201 1.138 Sb
0.000 18.200 1.138 Sb
2.230 1.161 3.413 Sb
2.230 4.065 1.138 Sb
2.230 7.065 1.138 Sb
2.230 15.206 3.413 Sb
2.230 18.205 3.413 Sb
2.230 21.110 1.138 Sb